Record 1
## BaInNi3 (PBE-GGA)

Data for BaInNi3 after structural relaxation.

Output
The calculation puts the density of states at the Fermi level at 0.913 states/eV/atom. The calculation puts the offset from the most stable computed form at 1039 meV/atom. The total energy is -2.88 eV/atom. Its crystal system is cubic. For the formation energy from the elements, the calculation gives 1.519 eV/atom.

Cell and atoms, written as CIF:
```
data_BaInNi3
_chemical_formula_sum 'Ba1 In1 Ni3'
_space_group_name_H-M_alt 'P m -3 m'
_space_group_IT_number 221
_space_group_name_Hall '-P 4 2 3'
_cell_length_a 4.966
_cell_length_b 4.966
_cell_length_c 4.966
_cell_angle_alpha 90.00
_cell_angle_beta 90.00
_cell_angle_gamma 90.00
loop_
_atom_site_label
_atom_site_fract_x
_atom_site_fract_y
_atom_site_fract_z
Ba1 0.000 0.000 0.000
In1 0.500 0.500 0.500
Ni1 0.000 0.000 0.500
```

Record 2
## BaInNi2 (PBE-GGA)

Data for BaInNi2 after structural relaxation.

Output
The calculation puts the density of states at the Fermi level at 0.458 states/eV/atom. The total energy is -3.76 eV/atom. Its crystal system is tetragonal. For the formation energy from the elements, the calculation gives 0.294 eV/atom.

Cell and atoms, written as CIF:
```
data_BaInNi2
_chemical_formula_sum 'Ba1 In1 Ni2'
_space_group_name_H-M_alt 'P 4/m m m'
_space_group_IT_number 123
_space_group_name_Hall '-P 4 2'
_cell_length_a 5.008
_cell_length_b 5.008
_cell_length_c 3.309
_cell_angle_alpha 90.00
_cell_angle_beta 90.00
_cell_angle_gamma 90.00
loop_
_atom_site_label
_atom_site_fract_x
_atom_site_fract_y
_atom_site_fract_z
Ba1 0.000 0.000 0.000
In1 0.500 0.500 0.000
Ni1 0.000 0.500 0.500
```

Record 3
## BaInNi2 (PBE-GGA)

Data for BaInNi2 after structural relaxation.

Output
The calculation puts the density of states at the Fermi level at 1.421 states/eV/atom. The total energy is -3.53 eV/atom. Its crystal system is cubic. For the formation energy from the elements, the calculation gives 0.528 eV/atom.

Cell and atoms, written as CIF:
```
data_BaInNi2
_chemical_formula_sum 'Ba4 In4 Ni8'
_space_group_name_H-M_alt 'F -4 3 m'
_space_group_IT_number 216
_space_group_name_Hall 'F -4 2 3'
_cell_length_a 7.140
_cell_length_b 7.140
_cell_length_c 7.140
_cell_angle_alpha 90.00
_cell_angle_beta 90.00
_cell_angle_gamma 90.00
loop_
_atom_site_label
_atom_site_fract_x
_atom_site_fract_y
_atom_site_fract_z
Ba1 0.000 0.000 0.000
In1 0.250 0.250 0.750
Ni1 0.000 0.000 0.500
Ni2 0.250 0.250 0.250
```

Record 4
## Ba2InNi (PBE-GGA)

Data for Ba2InNi after structural relaxation.

Output
The calculation puts the density of states at the Fermi level at 0.930 states/eV/atom. The total energy is -3.20 eV/atom. Its crystal system is tetragonal. For the formation energy from the elements, the calculation gives -0.105 eV/atom.

Cell and atoms, written as CIF:
```
data_Ba2InNi
_chemical_formula_sum 'Ba8 In4 Ni4'
_space_group_name_H-M_alt 'I -4 2 d'
_space_group_IT_number 122
_space_group_name_Hall 'I -4 2bw'
_cell_length_a 11.664
_cell_length_b 11.664
_cell_length_c 5.015
_cell_angle_alpha 90.00
_cell_angle_beta 90.00
_cell_angle_gamma 90.00
loop_
_atom_site_label
_atom_site_fract_x
_atom_site_fract_y
_atom_site_fract_z
Ba1 0.072 0.250 0.125
In1 0.000 0.000 0.500
Ni1 0.000 0.000 0.000
```

Record 5
## Ba2InNi (PBE-GGA)

Data for Ba2InNi after structural relaxation.

Output
The calculation puts the density of states at the Fermi level at 0.681 states/eV/atom. The total energy is -3.08 eV/atom. Its crystal system is tetragonal. For the formation energy from the elements, the calculation gives 0.015 eV/atom.

Cell and atoms, written as CIF:
```
data_Ba2InNi
_chemical_formula_sum 'Ba2 In1 Ni1'
_space_group_name_H-M_alt 'P 4 m m'
_space_group_IT_number 99
_space_group_name_Hall 'P 4 -2'
_cell_length_a 3.751
_cell_length_b 3.751
_cell_length_c 9.646
_cell_angle_alpha 90.00
_cell_angle_beta 90.00
_cell_angle_gamma 90.00
loop_
_atom_site_label
_atom_site_fract_x
_atom_site_fract_y
_atom_site_fract_z
Ba1 0.000 0.000 0.000
Ba2 0.500 0.500 0.412
In1 0.000 0.000 0.661
Ni1 0.500 0.500 0.763
```

Record 6
## BaInNi2 (PBE-GGA)

Data for BaInNi2 after structural relaxation.

Output
The calculation puts the density of states at the Fermi level at 0.593 states/eV/atom. The total energy is -3.94 eV/atom. Its crystal system is monoclinic. For the formation energy from the elements, the calculation gives 0.113 eV/atom.

Cell and atoms, written as CIF:
```
data_BaInNi2
_chemical_formula_sum 'Ba1 In1 Ni2'
_space_group_name_H-M_alt 'P 1 2/m 1'
_space_group_IT_number 10
_space_group_name_Hall '-P 2y'
_cell_length_a 3.438
_cell_length_b 3.496
_cell_length_c 7.047
_cell_angle_alpha 90.00
_cell_angle_beta 90.22
_cell_angle_gamma 90.00
loop_
_atom_site_label
_atom_site_fract_x
_atom_site_fract_y
_atom_site_fract_z
Ba1 0.000 0.000 0.000
In1 0.000 0.000 0.500
Ni1 0.498 0.500 0.327
```